Compound: Tb2PuGe
Source: Alexandria via LeMat-Bulk
Functional: PBE
Structure: optimized geometry

Results
raw total energy: -7.1832 eV per atom
DFT formation energy: -0.131 eV/atom
SG: R-3m, No. 166
DOS(E_F): 2.425 states/eV/atom
excess energy over the best structure of this formula in the dataset: 12.62 kJ/mol of atoms

Lattice parameters (Å, degrees): 10.1626 10.1626 10.1626 20.50 20.50 20.50
With the nearest neighbours (Å) after each atom.
Element x y z (fractional)
Tb1 0.2365 0.2365 0.2365  3 Ge 2.95
Tb2 0.7635 0.7635 0.7635  3 Ge 2.95
Pu1 0.0000 0.0000 0.0000  6 Tb 3.57, 6 Pu 3.62
Ge1 0.5000 0.5000 0.5000  6 Tb 2.95


Compound: HoNpSb
Source: Alexandria via LeMat-Bulk
Functional: PBE
Structure: optimized geometry

Results
raw total energy: -7.7189 eV per atom
energy relative to the elements, uncorrected: -0.505 eV/atom
SG: P4/nmm, No. 129
DOS(E_F): 1.635 states/eV/atom

Lattice parameters (Å, degrees): 4.2306 4.2306 8.7898 90.00 90.00 90.00
With the nearest neighbours (Å) after each atom.
Element x y z (fractional)
Ho1 0.2500 0.2500 0.1400  5 Sb 3.06-3.13
Ho2 0.7500 0.7500 0.8600  5 Sb 3.06-3.13
Np1 0.2500 0.7500 0.5000  4 Np 2.99, 4 Sb 3.27
Np2 0.7500 0.2500 0.5000  4 Np 2.99, 4 Sb 3.27
Sb1 0.2500 0.2500 0.7843  5 Ho 3.06-3.13, 4 Np 3.27
Sb2 0.7500 0.7500 0.2157  5 Ho 3.06-3.13, 4 Np 3.27


Compound: Li2PrIn4
Source: Alexandria via LeMat-Bulk
Functional: PBE
Structure: optimized geometry

Results
raw total energy: -3.1247 eV per atom
DFT formation energy: -0.330 eV/atom
SG: Immm, No. 71
DOS(E_F): 0.505 states/eV/atom

Lattice parameters (Å, degrees): 6.1441 6.1441 6.1441 126.88 102.21 100.86
With the nearest neighbours (Å) after each atom.
Element x y z (fractional)
Li1 0.0000 0.2503 0.2503  2 Li 2.74-2.75
Li2 0.0000 0.7497 0.7497  2 Li 2.74-2.75
Pr1 0.5000 0.5000 0.0000  12 In 3.34-3.49
In1 0.1075 0.8043 0.3032  4 In 2.99-3.06, 4 Li 3.12-3.14, 1 Pr 3.34
In2 0.4989 0.1957 0.3032  4 In 2.99-3.06, 4 Li 3.12-3.14, 1 Pr 3.34
In3 0.5011 0.8043 0.6968  4 In 2.99-3.06, 4 Li 3.12-3.14, 1 Pr 3.34
In4 0.8925 0.1957 0.6968  4 In 2.99-3.06, 4 Li 3.12-3.14, 1 Pr 3.34